VASP calculation (GGA-PBE) on GdThCuRu after structural relaxation.

Unit cell a=4.981 b=4.981 c=4.981 alpha=60.00 beta=60.00 gamma=60.00
Fractional positions:
Gd: 0.000 0.000 0.000
Th: 0.500 0.500 0.500
Cu: 0.250 0.250 0.250
Ru: 0.750 0.750 0.750

Results
symmetry	F-43m (216)
formation energy	-0.26	eV per atom
M_tot	7.09	Bohr magnetons per cell
crystal system	cubic



VASP calculation (GGA-PBE) on GdZrCuRu after structural relaxation.

Unit cell a=4.770 b=4.770 c=4.770 alpha=60.00 beta=60.00 gamma=60.00
Fractional positions:
Gd: 0.000 0.000 0.000
Zr: 0.500 0.500 0.500
Cu: 0.250 0.250 0.250
Ru: 0.750 0.750 0.750

Results
symmetry	F-43m (216)
formation energy	-0.25	eV per atom
M_tot	7.06	Bohr magnetons per cell
crystal system	cubic



VASP calculation (GGA-PBE) on Gd3Cu5S12 after structural relaxation.

Unit cell a=12.765 b=12.765 c=12.765 alpha=109.47 beta=109.47 gamma=109.47
Fractional positions:
Gd: 0.125 0.250 0.375
Gd: 0.125 0.375 0.750
Gd: 0.250 0.375 0.125
Gd: 0.250 0.875 0.625
Gd: 0.375 0.125 0.250
Gd: 0.375 0.750 0.125
Gd: 0.625 0.250 0.875
Gd: 0.625 0.875 0.750
Gd: 0.750 0.125 0.375
Gd: 0.750 0.625 0.875
Gd: 0.875 0.625 0.250
Gd: 0.875 0.750 0.625
Cu: 0.000 0.000 0.000
Cu: 0.000 0.000 0.500
Cu: 0.000 0.500 0.000
Cu: 0.000 0.500 0.500
Cu: 0.125 0.750 0.875
Cu: 0.125 0.875 0.250
Cu: 0.250 0.125 0.875
Cu: 0.250 0.625 0.375
Cu: 0.375 0.250 0.625
Cu: 0.375 0.625 0.750
Cu: 0.500 0.000 0.000
Cu: 0.500 0.000 0.500
Cu: 0.500 0.500 0.000
Cu: 0.500 0.500 0.500
Cu: 0.625 0.375 0.250
Cu: 0.625 0.750 0.375
Cu: 0.750 0.375 0.625
Cu: 0.750 0.875 0.125
Cu: 0.875 0.125 0.750
Cu: 0.875 0.250 0.125
S: 0.030 0.205 0.121
S: 0.030 0.325 0.908
S: 0.083 0.705 0.675
S: 0.083 0.879 0.408
S: 0.092 0.621 0.417
S: 0.092 0.970 0.675
S: 0.121 0.030 0.205
S: 0.121 0.592 0.917
S: 0.175 0.205 0.583
S: 0.175 0.470 0.592
S: 0.205 0.121 0.030
S: 0.205 0.583 0.175
S: 0.295 0.325 0.917
S: 0.295 0.470 0.379
S: 0.325 0.908 0.030
S: 0.325 0.917 0.295
S: 0.379 0.295 0.470
S: 0.379 0.583 0.908
S: 0.408 0.083 0.879
S: 0.408 0.825 0.530
S: 0.417 0.092 0.621
S: 0.417 0.825 0.795
S: 0.470 0.379 0.295
S: 0.470 0.592 0.175
S: 0.530 0.408 0.825
S: 0.530 0.621 0.705
S: 0.583 0.175 0.205
S: 0.583 0.908 0.379
S: 0.592 0.175 0.470
S: 0.592 0.917 0.121
S: 0.621 0.417 0.092
S: 0.621 0.705 0.530
S: 0.675 0.083 0.705
S: 0.675 0.092 0.970
S: 0.705 0.530 0.621
S: 0.705 0.675 0.083
S: 0.795 0.417 0.825
S: 0.795 0.879 0.970
S: 0.825 0.530 0.408
S: 0.825 0.795 0.417
S: 0.879 0.408 0.083
S: 0.879 0.970 0.795
S: 0.908 0.030 0.325
S: 0.908 0.379 0.583
S: 0.917 0.121 0.592
S: 0.917 0.295 0.325
S: 0.970 0.675 0.092
S: 0.970 0.795 0.879

Results
symmetry	Ia-3d (230)
energy relative to the elements, uncorrected	-0.687	eV per atom
M_tot	81.12	Bohr magnetons per cell
crystal system	cubic